Cs2HgBrCl3, relaxed, DFT GGA-PBE; energy relative to the elements, uncorrected = -9.52 eV/f.u.
1.0
-2.1921 -4.6636 -2.3355
4.2708 -2.9855 1.9529
-5.3889 2.2844 7.3490
Cs Br Cl Hg
2 1 3 1
Cartesian
-0.1830 -4.2574 1.8203 Cs
-3.1271 -1.1073 5.1460 Cs
-1.0960 -2.3318 -1.1678 Br
-1.3492 -0.4777 2.2202 Cl
-1.9609 -4.8869 4.7461 Cl
2.1354 -1.4927 0.9764 Cl
0.0000 0.0000 0.0000 Hg

***

Cs3Hg2Br5Cl2, relaxed, DFT GGA-PBE; DOS(E_F) = 2.009 states/eV/f.u.; energy relative to the elements, uncorrected = -14.06 eV/f.u.
1.0
5.7022 0.0000 0.0000
0.0000 5.7022 0.0000
-2.8511 -2.8511 14.1417
Cs Br Cl Hg
3 5 2 2
Cartesian
0.0000 0.0000 5.1619 Cs
0.0000 0.0000 0.0000 Cs
2.8511 2.8511 8.9798 Cs
2.8511 2.8511 0.0000 Br
0.0000 2.8511 11.4110 Br
2.8511 0.0000 11.4110 Br
0.0000 2.8511 2.7307 Br
2.8511 0.0000 2.7307 Br
0.0000 0.0000 8.6248 Cl
2.8511 2.8511 5.5169 Cl
0.0000 0.0000 11.2653 Hg
2.8511 2.8511 2.8764 Hg

***

CsHgBr2Cl, relaxed, DFT GGA-PBE; DOS(E_F) = 0.609 states/eV/f.u.; energy relative to the elements, uncorrected = -5.18 eV/f.u.
1.0
-1.1799 4.4055 -3.3427
-5.3547 -0.0561 1.8162
1.3328 3.4187 4.0352
Hg Br Cl Cs
1 2 1 1
Cartesian
0.0000 0.0000 0.0000 Hg
-2.6774 -0.0280 0.9081 Br
-0.5899 2.2028 -1.6714 Br
0.6664 1.7093 2.0176 Cl
-2.6009 3.8841 1.2543 Cs

***

Cs2HgBrCl6, relaxed, DFT GGA-PBE; DOS(E_F) = 4.496 states/eV/f.u.; energy relative to the elements, uncorrected = -9.28 eV/f.u.
1.0
7.6791 0.0000 0.0000
0.0000 7.6791 0.0000
3.8396 3.8396 5.7894
Cl Cs Hg Br
6 2 1 1
Cartesian
1.9790 5.7002 0.0000 Cl
1.9790 1.9790 0.0000 Cl
3.8396 3.8396 3.3568 Cl
5.7002 1.9790 0.0000 Cl
7.6791 7.6791 2.4325 Cl
5.7002 5.7002 0.0000 Cl
3.8396 7.6791 2.8947 Cs
7.6791 3.8396 2.8947 Cs
0.0000 0.0000 0.0000 Hg
3.8396 3.8396 0.0000 Br

***

CsIBrCl2, relaxed, DFT GGA-PBE; DOS(E_F) = 2.468 states/eV/f.u.; energy relative to the elements, uncorrected = -3.99 eV/f.u.
1.0
-0.5505 5.6323 -0.6466
-2.3579 0.3634 5.1722
5.3757 0.8003 2.3945
Cs Cl Br I
1 2 1 1
Cartesian
1.2336 3.3980 3.4600 Cs
-0.2752 2.8161 -0.3233 Cl
-1.1790 0.1817 2.5861 Cl
2.6879 0.4002 1.1972 Br
0.0000 0.0000 0.0000 I

***

CsIBrCl, relaxed, DFT GGA-PBE; DOS(E_F) = 4.699 states/eV/f.u.; energy relative to the elements, uncorrected = -3.25 eV/f.u.
1.0
-3.7015 2.5238 4.6471
3.1799 -5.5189 1.0471
8.2526 5.4415 3.6182
Br Cl Cs I
2 2 2 2
Cartesian
1.7962 1.9555 4.8518 Br
8.2164 1.9953 5.4609 Br
5.8656 3.8676 2.5717 Cl
1.7393 1.1468 0.7626 Cl
4.7998 3.9359 6.1687 Cs
2.9673 -1.4657 3.1596 Cs
7.9318 5.2300 3.4776 I
3.8055 2.5092 1.6685 I

***

Cs4IBr2Cl, relaxed, DFT GGA-PBE; DOS(E_F) = 0.000 states/eV/f.u.; energy relative to the elements, uncorrected = -14.13 eV/f.u.
1.0
-1.3558 -5.1641 -9.0771
-3.0384 -8.5527 5.3400
-4.8672 9.1619 1.5856
Br Cs I Cl
4 8 2 2
Cartesian
-2.1971 -6.8584 -1.8686 Br
-0.6779 -2.5821 -4.5385 Br
-2.4336 4.5809 0.7928 Br
-3.1115 1.9989 -3.7457 Br
-3.4970 1.1075 -0.2349 Cs
-5.7644 -5.6625 -1.9165 Cs
-1.1147 -3.3467 -1.0039 Cs
-4.1037 -1.3899 -4.5834 Cs
-8.1467 -1.2082 -1.1476 Cs
-6.5210 3.2238 -3.9305 Cs
-2.7404 -7.7788 1.7788 Cs
-5.1576 -3.1650 2.4319 Cs
-5.3085 -4.8595 -5.6143 I
-1.5192 -4.2763 2.6700 I
-6.2230 3.9978 -7.4914 Cl
-4.6307 -2.2774 -1.0757 Cl

***

Cs4I2BrCl, relaxed, DFT GGA-PBE; DOS(E_F) = 0.000 states/eV/f.u.; energy relative to the elements, uncorrected = -13.65 eV/f.u.
1.0
-9.1957 5.2521 -1.2440
-2.2148 -5.9110 -8.5935
2.2830 -4.7257 9.3463
Cs Br I Cl
8 2 4 2
Cartesian
-6.3606 -5.0684 1.8298 Cs
-2.7867 -5.3129 -2.0053 Cs
-1.5073 -7.8965 2.5225 Cs
-7.6204 2.5120 -3.0138 Cs
-2.7668 -0.3162 -2.3210 Cs
-6.3407 -0.0716 1.5141 Cs
-1.7187 -2.5011 1.9931 Cs
-7.4088 -2.8835 -2.4844 Cs
-9.1616 -0.0662 -0.8677 Br
-1.1074 -2.9555 -4.2967 Br
-4.5979 2.6260 -0.6220 I
-5.7053 -0.3294 -4.9188 I
1.1415 -2.3629 4.6731 I
-3.4564 0.2632 4.0511 I
-6.9127 0.5264 8.1023 Cl
-4.5637 -2.6923 -0.2456 Cl

***

CsI2BrCl, relaxed, DFT GGA-PBE; DOS(E_F) = 2.273 states/eV/f.u.; energy relative to the elements, uncorrected = -2.87 eV/f.u.
1.0
6.0866 0.0000 0.0000
0.0000 6.0866 0.0000
0.0000 0.0000 5.5105
I Cl Br Cs
2 1 1 1
Cartesian
0.0000 3.0433 0.0000 I
3.0433 0.0000 0.0000 I
0.0000 0.0000 2.7552 Cl
0.0000 0.0000 0.0000 Br
3.0433 3.0433 2.7552 Cs

***

Cs2I6BrCl, relaxed, DFT GGA-PBE; DOS(E_F) = 0.000 states/eV/f.u.; energy relative to the elements, uncorrected = -5.39 eV/f.u.
1.0
-0.6421 -8.3119 -2.6287
8.3883 0.1286 -2.4554
5.5873 -6.0438 3.2119
I Cs Br Cl
6 2 1 1
Cartesian
1.4206 -6.3839 -2.5891 I
1.7694 -1.8692 -1.1613 I
4.6021 -4.9218 -0.0951 I
8.7315 -9.3053 -1.7770 I
6.3256 -1.7994 -2.4950 I
5.9769 -6.3141 -3.9228 I
4.4092 -9.2236 -0.9794 Cs
8.9244 -5.0034 -0.8928 Cs
0.0000 0.0000 0.0000 Br
3.8731 -4.0916 -2.5420 Cl

***

Cs8I3Br3Cl, relaxed, DFT GGA-PBE; DOS(E_F) = 3.323 states/eV/f.u.; energy relative to the elements, uncorrected = -23.62 eV/f.u.
1.0
-2.3462 1.9944 -10.2402
-4.5305 -8.2949 5.0056
-2.8894 10.0531 2.6200
Br I Cs Cl
3 3 8 1
Cartesian
-3.7100 0.8791 3.8128 Br
-2.6178 6.0238 -3.8101 Br
-4.8831 1.8763 -1.3073 Br
-3.4384 -3.1503 -2.6173 I
0.0000 0.0000 0.0000 I
-2.2653 -4.1474 2.5028 I
-3.6807 -1.0473 0.6394 Cs
-2.6143 4.1459 -7.0183 Cs
-7.1518 -0.3933 4.4037 Cs
-6.0854 4.7999 -3.2540 Cs
-4.8451 3.8285 1.8558 Cs
-1.4201 3.1308 -1.8062 Cs
-8.3460 0.6218 -0.8084 Cs
-4.9210 -0.0759 -4.4704 Cs
-1.4447 5.0266 1.3100 Cl

***

Cs8I3BrCl3, relaxed, DFT GGA-PBE; DOS(E_F) = 2.925 states/eV/f.u.; energy relative to the elements, uncorrected = -24.30 eV/f.u.
1.0
10.5119 0.0000 0.0000
-5.2559 9.1030 -0.0325
0.0000 -6.0383 8.7368
I Cl Cs Br
3 3 8 1
Cartesian
2.6280 4.5515 -0.0162 I
0.0000 0.0000 0.0000 I
-2.6280 4.5515 -0.0162 I
5.2559 -3.0191 4.3684 Cl
2.6280 1.5323 4.3521 Cl
-2.6280 1.5323 4.3521 Cl
-2.5586 4.5348 6.3349 Cs
7.8145 -1.4701 2.3694 Cs
2.6974 -1.4701 2.3694 Cs
5.2559 0.0264 6.3029 Cs
5.2559 2.9685 2.3541 Cs
0.0000 0.0962 6.3502 Cs
2.5586 4.5348 6.3349 Cs
0.0000 3.0383 2.4014 Cs
0.0000 -3.0191 4.3684 Br